# Tb2AgPbO5 | Alexandria via LeMat-Bulk | PBE | relaxed
data_Tb2AgPbO5
_chemical_formula_sum 'Tb4 Ag2 Pb2 O10'
_symmetry_space_group_name_H-M 'P 1'
_symmetry_Int_Tables_number 1
_symmetry_space_group_name_Hall 'P 1'
_cell_length_a 6.6101
_cell_length_b 6.6101
_cell_length_c 6.3698
_cell_angle_alpha 90.00
_cell_angle_beta 90.00
_cell_angle_gamma 90.00
loop_
_atom_site_label
_atom_site_fract_x
_atom_site_fract_y
_atom_site_fract_z
Tb1 0.1739 0.3261 0.0000
Tb2 0.3261 0.8261 0.0000
Tb3 0.6739 0.1739 0.0000
Tb4 0.8261 0.6739 0.0000
Ag1 0.0000 0.0000 0.5000
Ag2 0.5000 0.5000 0.5000
Pb1 0.0000 0.5000 0.5000
Pb2 0.5000 0.0000 0.5000
O1 0.0000 0.0000 0.0000
O2 0.1437 0.6437 0.2235
O3 0.1437 0.6437 0.7765
O4 0.3563 0.1437 0.2235
O5 0.3563 0.1437 0.7765
O6 0.5000 0.5000 0.0000
O7 0.6437 0.8563 0.2235
O8 0.6437 0.8563 0.7765
O9 0.8563 0.3563 0.2235
O10 0.8563 0.3563 0.7765
# space group = P4/mbm, No. 127
# raw formation energy = -1.885 eV/atom
# total energy = -6.398 eV per atom

---

# CeFeIr | Alexandria via LeMat-Bulk | PBE | relaxed
data_CeFeIr
_chemical_formula_sum 'Ce2 Fe2 Ir2'
_symmetry_space_group_name_H-M 'P 1'
_symmetry_Int_Tables_number 1
_symmetry_space_group_name_Hall 'P 1'
_cell_length_a 5.2931
_cell_length_b 5.2931
_cell_length_c 5.2931
_cell_angle_alpha 124.09
_cell_angle_beta 116.64
_cell_angle_gamma 89.49
loop_
_atom_site_label
_atom_site_fract_x
_atom_site_fract_y
_atom_site_fract_z
Ce1 0.3759 0.1259 0.2500
Ce2 0.6241 0.8741 0.7500
Fe1 0.0000 0.0000 0.5000
Fe2 0.0000 0.5000 0.0000
Ir1 0.0000 0.5000 0.5000
Ir2 0.5000 0.5000 0.0000
# space group = Imma, No. 74
# total energy = -8.254 eV per atom

---

# Sr2Li3InBi4 | Alexandria via LeMat-Bulk | PBE | relaxed
data_Sr2Li3InBi4
_chemical_formula_sum 'Sr2 Li3 In1 Bi4'
_symmetry_space_group_name_H-M 'P 1'
_symmetry_Int_Tables_number 1
_symmetry_space_group_name_Hall 'P 1'
_cell_length_a 4.9778
_cell_length_b 4.9778
_cell_length_c 11.7963
_cell_angle_alpha 90.00
_cell_angle_beta 90.00
_cell_angle_gamma 90.00
loop_
_atom_site_label
_atom_site_fract_x
_atom_site_fract_y
_atom_site_fract_z
Sr1 0.0000 0.5000 0.2294
Sr2 0.5000 0.0000 0.7706
Li1 0.0000 0.5000 0.8787
Li2 0.5000 0.0000 0.1213
Li3 0.5000 0.5000 0.5000
In1 0.0000 0.0000 0.5000
Bi1 0.0000 0.0000 0.0000
Bi2 0.0000 0.5000 0.6454
Bi3 0.5000 0.0000 0.3546
Bi4 0.5000 0.5000 0.0000
# space group = P-4m2, No. 115
# total energy = -3.298 eV per atom

---

# CoHCSe | Alexandria via LeMat-Bulk | PBE | relaxed
data_CoHCSe
_chemical_formula_sum 'Co1 H1 C1 Se1'
_symmetry_space_group_name_H-M 'P 1'
_symmetry_Int_Tables_number 1
_symmetry_space_group_name_Hall 'P 1'
_cell_length_a 5.0817
_cell_length_b 3.3504
_cell_length_c 3.3504
_cell_angle_alpha 52.74
_cell_angle_beta 90.00
_cell_angle_gamma 90.00
loop_
_atom_site_label
_atom_site_fract_x
_atom_site_fract_y
_atom_site_fract_z
Co1 0.0000 0.0000 0.0000
H1 0.5000 0.2784 0.2784
C1 0.0000 0.3222 0.3222
Se1 0.5000 0.0288 0.0288
# space group = Amm2, No. 38
# energy relative to the lowest polymorph listed for this composition = 31.28 kJ per mole of atoms
# total energy = -5.160 eV per atom

---

# Pr5BBr5 | Alexandria via LeMat-Bulk | PBE | relaxed
data_Pr5BBr5
_chemical_formula_sum 'Pr5 B1 Br5'
_symmetry_space_group_name_H-M 'P 1'
_symmetry_Int_Tables_number 1
_symmetry_space_group_name_Hall 'P 1'
_cell_length_a 7.1297
_cell_length_b 7.1297
_cell_length_c 8.8034
_cell_angle_alpha 107.33
_cell_angle_beta 107.33
_cell_angle_gamma 48.93
loop_
_atom_site_label
_atom_site_fract_x
_atom_site_fract_y
_atom_site_fract_z
Pr1 0.0000 0.0000 0.0000
Pr2 0.3380 0.3380 0.1274
Pr3 0.3564 0.3564 0.7164
Pr4 0.6436 0.6436 0.2836
Pr5 0.6620 0.6620 0.8726
B1 0.5000 0.5000 0.0000
Br1 0.1493 0.1493 0.7937
Br2 0.1699 0.1699 0.3489
Br3 0.5000 0.5000 0.5000
Br4 0.8301 0.8301 0.6511
Br5 0.8507 0.8507 0.2063
# space group = C2/m, No. 12
# raw formation energy = -1.191 eV/atom
# total energy = -4.731 eV per atom

---

# K3AcCe2Te6 | Alexandria via LeMat-Bulk | PBE | relaxed
data_K3AcCe2Te6
_chemical_formula_sum 'K3 Ac1 Ce2 Te6'
_symmetry_space_group_name_H-M 'P 1'
_symmetry_Int_Tables_number 1
_symmetry_space_group_name_Hall 'P 1'
_cell_length_a 8.1914
_cell_length_b 8.1914
_cell_length_c 8.6709
_cell_angle_alpha 99.07
_cell_angle_beta 99.07
_cell_angle_gamma 120.00
loop_
_atom_site_label
_atom_site_fract_x
_atom_site_fract_y
_atom_site_fract_z
K1 0.0000 0.0000 0.0000
K2 0.3355 0.6645 0.0000
K3 0.6645 0.3355 0.0000
Ac1 0.5000 0.5000 0.5000
Ce1 0.1669 0.8331 0.5000
Ce2 0.8331 0.1669 0.5000
Te1 0.0843 0.4276 0.2832
Te2 0.2289 0.2289 0.7167
Te3 0.4276 0.0843 0.2832
Te4 0.5724 0.9157 0.7168
Te5 0.7711 0.7711 0.2833
Te6 0.9157 0.5724 0.7168
# space group = C2/m, No. 12
# raw formation energy = -1.393 eV/atom
# total energy = -4.570 eV per atom

---

# K12Rb7P | Alexandria via LeMat-Bulk | PBE | relaxed
data_K12Rb7P
_chemical_formula_sum 'K12 Rb7 P1'
_symmetry_space_group_name_H-M 'P 1'
_symmetry_Int_Tables_number 1
_symmetry_space_group_name_Hall 'P 1'
_cell_length_a 14.6585
_cell_length_b 14.6585
_cell_length_c 14.6585
_cell_angle_alpha 116.54
_cell_angle_beta 116.54
_cell_angle_gamma 116.54
loop_
_atom_site_label
_atom_site_fract_x
_atom_site_fract_y
_atom_site_fract_z
K1 0.0000 0.4095 0.5905
K2 0.0000 0.5905 0.4095
K3 0.0269 0.0269 0.3847
K4 0.0269 0.3847 0.0269
K5 0.3847 0.0269 0.0269
K6 0.4095 0.0000 0.5905
K7 0.4095 0.5905 0.0000
K8 0.5905 0.0000 0.4095
K9 0.5905 0.4095 0.0000
K10 0.6153 0.9731 0.9731
K11 0.9731 0.6153 0.9731
K12 0.9731 0.9731 0.6153
Rb1 0.0000 0.0000 0.0000
Rb2 0.1942 0.4082 0.4082
Rb3 0.4082 0.1942 0.4082
Rb4 0.4082 0.4082 0.1942
Rb5 0.5918 0.5918 0.8058
Rb6 0.5918 0.8058 0.5918
Rb7 0.8058 0.5918 0.5918
P1 0.5000 0.5000 0.5000
# space group = R-3m, No. 166
# total energy = -1.246 eV per atom

---

# ZrHg2Bi | Alexandria via LeMat-Bulk | PBE | relaxed
data_ZrHg2Bi
_chemical_formula_sum 'Zr2 Hg4 Bi2'
_symmetry_space_group_name_H-M 'P 1'
_symmetry_Int_Tables_number 1
_symmetry_space_group_name_Hall 'P 1'
_cell_length_a 6.6170
_cell_length_b 6.6170
_cell_length_c 6.6170
_cell_angle_alpha 101.80
_cell_angle_beta 101.80
_cell_angle_gamma 126.23
loop_
_atom_site_label
_atom_site_fract_x
_atom_site_fract_y
_atom_site_fract_z
Zr1 0.0000 0.0000 0.0000
Zr2 0.7500 0.2500 0.5000
Hg1 0.1111 0.6250 0.9861
Hg2 0.3750 0.3611 0.4861
Hg3 0.6389 0.1250 0.0139
Hg4 0.8750 0.8889 0.5139
Bi1 0.2500 0.7500 0.5000
Bi2 0.5000 0.5000 0.0000
# space group = I-42d, No. 122
# total energy = -3.186 eV per atom

---

- Which of these has the lowest total energy?
  CeFeIr

---

Copy entry 8 word for word.
# ZrHg2Bi | Alexandria via LeMat-Bulk | PBE | relaxed
data_ZrHg2Bi
_chemical_formula_sum 'Zr2 Hg4 Bi2'
_symmetry_space_group_name_H-M 'P 1'
_symmetry_Int_Tables_number 1
_symmetry_space_group_name_Hall 'P 1'
_cell_length_a 6.6170
_cell_length_b 6.6170
_cell_length_c 6.6170
_cell_angle_alpha 101.80
_cell_angle_beta 101.80
_cell_angle_gamma 126.23
loop_
_atom_site_label
_atom_site_fract_x
_atom_site_fract_y
_atom_site_fract_z
Zr1 0.0000 0.0000 0.0000
Zr2 0.7500 0.2500 0.5000
Hg1 0.1111 0.6250 0.9861
Hg2 0.3750 0.3611 0.4861
Hg3 0.6389 0.1250 0.0139
Hg4 0.8750 0.8889 0.5139
Bi1 0.2500 0.7500 0.5000
Bi2 0.5000 0.5000 0.0000
# space group = I-42d, No. 122
# total energy = -3.186 eV per atom

---

- Which value of total energy does entry 7 give?
  -1.246 eV per atom

---

- Which of these has the lowest total energy?
  CeFeIr